Record 1
This record from Alexandria via LeMat-Bulk describes a relaxed structure of Tb3Tm4Se8. The functional is PBE-GGA.

Properties
For the total moment, the calculation gives 0.00 μB per formula unit. Its density of states at the Fermi level is 6.078 states/eV/cell. The calculation puts the formation energy without anion corrections at -174.0 kJ/mol of atoms.

Cell and atoms, written as extended XYZ:
```
15
Lattice="5.713 -5.715 0.000 5.713 5.715 0.000 -5.701 0.000 5.717" Properties=species:S:1:pos:R:3 pbc="T T T"
Tb 0.000 0.000 0.000
Tb 2.856 2.857 0.000
Tb 2.856 -2.857 0.000
Tm 0.006 2.857 2.859
Tm 0.006 -2.857 2.859
Tm 5.713 0.000 0.000
Tm 2.862 0.000 2.859
Se 2.862 2.876 2.859
Se -0.016 0.000 2.885
Se -2.818 0.000 5.701
Se 5.713 2.831 0.000
Se 5.713 -2.831 0.000
Se 8.542 0.000 0.016
Se 5.740 0.000 2.832
Se 2.862 -2.876 2.859
```

***

Record 2
This record from Alexandria via LeMat-Bulk describes a relaxed structure of TbTm3Se6. The functional is PBE-GGA.

Properties
For the total moment, the calculation gives 0.06 μB per formula unit. Its density of states at the Fermi level is 2.219 states/eV/cell. The energy above the most stable polymorph in this dataset comes out at 297 meV/atom. The calculation puts the formation energy without anion corrections at -150.5 kJ/mol of atoms.

Cell and atoms, written as extended XYZ:
```
10
Lattice="4.962 -7.037 0.000 4.962 7.037 0.000 0.000 0.000 4.276" Properties=species:S:1:pos:R:3 pbc="T T T"
Tb 0.000 0.000 0.000
Tm 2.481 3.519 2.138
Tm 2.481 -3.519 2.138
Tm 4.962 0.000 0.000
Se 4.962 5.008 2.138
Se 2.930 1.752 0.000
Se 2.930 -1.752 0.000
Se 6.995 1.752 0.000
Se 6.995 -1.752 0.000
Se 4.962 -5.008 2.138
```

***

Record 3
This record from Alexandria via LeMat-Bulk describes a relaxed structure of Tb2TmSe4. The functional is PBE-GGA.

Properties
For the total moment, the calculation gives 0.00 μB per formula unit. Its density of states at the Fermi level is 6.027 states/eV/cell. The energy above the most stable polymorph in this dataset comes out at 50 meV/atom. The calculation puts the formation energy without anion corrections at -175.2 kJ/mol of atoms.

Cell and atoms, written as extended XYZ:
```
14
Lattice="14.928 0.000 0.000 0.000 4.094 0.000 -3.271 0.000 6.401" Properties=species:S:1:pos:R:3 pbc="T T T"
Tb 2.741 0.000 1.419
Tb 1.452 2.047 4.982
Tb 10.205 2.047 1.419
Tb 8.916 0.000 4.982
Tm -1.636 2.047 3.201
Tm 5.828 0.000 3.201
Se -1.275 2.047 5.997
Se 0.381 0.000 3.134
Se 3.812 2.047 3.267
Se 5.467 0.000 0.404
Se 6.189 0.000 5.997
Se 7.845 2.047 3.134
Se 11.276 0.000 3.267
Se 12.931 2.047 0.404
```

***

Record 4
This record from Alexandria via LeMat-Bulk describes a relaxed structure of Tb2Tm2Se5. The functional is PBE-GGA.

Properties
For the total moment, the calculation gives 0.00 μB per formula unit. Its density of states at the Fermi level is 11.770 states/eV/cell. The energy above the most stable polymorph in this dataset comes out at 0 meV/atom. The calculation puts the formation energy without anion corrections at -163.4 kJ/mol of atoms.

Cell and atoms, written as extended XYZ:
```
18
Lattice="7.309 -3.807 0.000 7.309 3.807 0.000 0.000 0.000 7.596" Properties=species:S:1:pos:R:3 pbc="T T T"
Tb 2.885 0.000 0.000
Tb 4.424 0.000 3.798
Tb 10.194 0.000 3.798
Tb 11.733 0.000 0.000
Tm 7.309 2.662 4.977
Tm 7.309 1.145 1.178
Tm 7.309 -1.145 6.418
Tm 7.309 -2.662 2.620
Se 0.000 0.000 0.000
Se 5.291 2.589 2.620
Se 5.291 1.218 6.418
Se 9.327 2.589 2.620
Se 9.327 1.218 6.418
Se 7.309 0.000 3.798
Se 5.291 -1.218 1.178
Se 5.291 -2.589 4.977
Se 9.327 -1.218 1.178
Se 9.327 -2.589 4.977
```

***

Record 5
This record from Alexandria via LeMat-Bulk describes a relaxed structure of TbTm2Se3. The functional is PBE-GGA.

Properties
For the total moment, the calculation gives 0.00 μB per formula unit. Its density of states at the Fermi level is 5.069 states/eV/cell. The energy above the most stable polymorph in this dataset comes out at 0 meV/atom. The calculation puts the formation energy without anion corrections at -163.9 kJ/mol of atoms.

Cell and atoms, written as extended XYZ:
```
12
Lattice="12.800 0.000 0.000 0.000 5.700 0.000 -1.282 0.000 3.844" Properties=species:S:1:pos:R:3 pbc="T T T"
Tb 0.000 0.000 0.000
Tb 6.400 2.850 0.000
Tm 1.221 2.850 2.552
Tm 3.897 0.000 1.292
Tm 7.621 0.000 2.552
Tm 10.297 2.850 1.292
Se 0.000 2.850 0.000
Se 1.346 0.000 2.576
Se 3.772 2.850 1.268
Se 6.400 0.000 0.000
Se 7.746 2.850 2.576
Se 10.172 0.000 1.268
```

***

Record 6
This record from Alexandria via LeMat-Bulk describes a relaxed structure of TbTm6Se8. The functional is PBE-GGA.

Properties
For the total moment, the calculation gives 0.00 μB per formula unit. Its density of states at the Fermi level is 5.739 states/eV/cell. The calculation puts the formation energy without anion corrections at -171.3 kJ/mol of atoms.

Cell and atoms, written as extended XYZ:
```
15
Lattice="0.000 5.666 5.666 5.666 0.000 5.666 5.666 5.666 0.000" Properties=species:S:1:pos:R:3 pbc="T T T"
Tb 0.000 0.000 0.000
Tm 2.833 2.833 0.000
Tm 2.833 0.000 2.833
Tm 5.666 2.833 2.833
Tm 0.000 2.833 2.833
Tm 2.833 5.666 2.833
Tm 2.833 2.833 5.666
Se 2.833 2.833 2.833
Se 5.666 5.666 2.913
Se 5.666 2.913 5.666
Se 8.419 5.666 5.666
Se 2.913 5.666 5.666
Se 5.666 8.419 5.666
Se 5.666 5.666 8.419
Se 8.499 8.499 8.499
```

***

Record 7
This record from Alexandria via LeMat-Bulk describes a relaxed structure of Tb2Tm2Se5. The functional is PBE-GGA.

Properties
For the total moment, the calculation gives 0.00 μB per formula unit. Its density of states at the Fermi level is 2.690 states/eV/cell. The energy above the most stable polymorph in this dataset comes out at 35 meV/atom. The calculation puts the formation energy without anion corrections at -160.0 kJ/mol of atoms.

Cell and atoms, written as extended XYZ:
```
9
Lattice="8.667 -1.965 0.000 8.667 1.965 0.000 -0.350 0.000 7.378" Properties=species:S:1:pos:R:3 pbc="T T T"
Tb 0.385 0.000 2.074
Tb 16.600 0.000 5.304
Tm 5.902 0.000 0.646
Tm 11.083 0.000 6.731
Se 3.189 0.000 1.266
Se 6.934 0.000 3.185
Se 8.667 0.000 0.000
Se 10.050 0.000 4.193
Se 13.795 0.000 6.112
```

***

Record 8
This record from Alexandria via LeMat-Bulk describes a relaxed structure of TbTm3Se4. The functional is PBE-GGA.

Properties
For the total moment, the calculation gives 0.00 μB per formula unit. Its density of states at the Fermi level is 5.132 states/eV/cell. The energy above the most stable polymorph in this dataset comes out at 13 meV/atom. The calculation puts the formation energy without anion corrections at -161.3 kJ/mol of atoms.

Cell and atoms, written as extended XYZ:
```
8
Lattice="5.710 0.000 0.000 0.000 5.710 0.000 0.000 0.000 5.710" Properties=species:S:1:pos:R:3 pbc="T T T"
Tb 0.000 0.000 0.000
Tm 0.000 2.855 2.855
Tm 2.855 0.000 2.855
Tm 2.855 2.855 0.000
Se 0.000 0.000 2.855
Se 0.000 2.855 0.000
Se 2.855 0.000 0.000
Se 2.855 2.855 2.855
```

***

Record 9
This record from Alexandria via LeMat-Bulk describes a relaxed structure of Tb4Tm3Se8. The functional is PBE-GGA.

Properties
For the total moment, the calculation gives 0.00 μB per formula unit. Its density of states at the Fermi level is 6.005 states/eV/cell. The calculation puts the formation energy without anion corrections at -174.6 kJ/mol of atoms.

Cell and atoms, written as extended XYZ:
```
15
Lattice="5.718 -5.720 0.000 5.718 5.720 0.000 -5.714 0.000 5.723" Properties=species:S:1:pos:R:3 pbc="T T T"
Tb 0.000 0.000 0.000
Tb 2.859 2.860 0.000
Tb 2.859 -2.860 0.000
Tb 2.862 0.000 2.861
Tm 0.002 2.860 2.861
Tm 0.002 -2.860 2.861
Tm 5.718 0.000 0.000
Se 2.862 2.920 2.861
Se -0.059 0.000 2.888
Se -2.827 0.000 5.665
Se 5.718 2.833 0.000
Se 5.718 -2.833 0.000
Se 8.551 0.000 0.058
Se 5.782 0.000 2.835
Se 2.862 -2.920 2.861
```

***

Record 10
This record from Alexandria via LeMat-Bulk describes a relaxed structure of Tb3Tm2Se6. The functional is PBE-GGA.

Properties
For the total moment, the calculation gives 0.00 μB per formula unit. Its density of states at the Fermi level is 4.405 states/eV/cell. The energy above the most stable polymorph in this dataset comes out at 0 meV/atom. The calculation puts the formation energy without anion corrections at -178.2 kJ/mol of atoms.

Cell and atoms, written as extended XYZ:
```
11
Lattice="3.510 -6.053 0.000 3.510 6.053 0.000 -2.333 0.000 6.591" Properties=species:S:1:pos:R:3 pbc="T T T"
Tb 0.000 0.000 0.000
Tb 3.510 1.995 0.000
Tb 3.510 -1.995 0.000
Tm 2.343 4.052 3.295
Tm 2.343 -4.052 3.295
Se 1.183 2.000 1.703
Se 0.040 0.000 4.864
Se 1.183 -2.000 1.703
Se 3.503 2.000 4.888
Se 4.646 0.000 1.727
Se 3.503 -2.000 4.888
```

***

Record 11
This record from Alexandria via LeMat-Bulk describes a relaxed structure of TbTmSe2. The functional is PBE-GGA.

Properties
For the total moment, the calculation gives 0.00 μB per formula unit. Its density of states at the Fermi level is 5.642 states/eV/cell. The energy above the most stable polymorph in this dataset comes out at 0 meV/atom. The calculation puts the formation energy without anion corrections at -165.8 kJ/mol of atoms.

Cell and atoms, written as extended XYZ:
```
12
Lattice="4.054 0.000 0.000 -2.027 3.511 0.000 0.000 0.000 19.884" Properties=species:S:1:pos:R:3 pbc="T T T"
Tb 0.000 0.000 0.000
Tb 0.000 2.340 13.256
Tb 2.027 1.170 6.628
Tm 0.000 0.000 9.942
Tm 0.000 2.340 3.314
Tm 2.027 1.170 16.570
Se 0.000 0.000 4.918
Se 0.000 0.000 14.966
Se 0.000 2.340 8.338
Se 0.000 2.340 18.175
Se 2.027 1.170 1.710
Se 2.027 1.170 11.546
```

***

Record 12
This record from Alexandria via LeMat-Bulk describes a relaxed structure of Tb3Tm2Se8. The functional is PBE-GGA.

Properties
For the total moment, the calculation gives 0.00 μB per formula unit. Its density of states at the Fermi level is 6.792 states/eV/cell. The calculation puts the formation energy without anion corrections at -162.8 kJ/mol of atoms.

Cell and atoms, written as extended XYZ:
```
13
Lattice="7.122 -4.090 0.000 7.122 4.090 0.000 -2.336 0.000 6.575" Properties=species:S:1:pos:R:3 pbc="T T T"
Tb 0.000 0.000 0.000
Tb 5.953 1.950 3.287
Tb 5.953 -1.950 3.287
Tm 1.700 0.000 5.510
Tm 10.207 0.000 1.065
Se 5.138 2.126 0.556
Se 0.722 0.000 2.803
Se 6.769 2.126 6.018
Se 4.018 0.000 3.953
Se 7.889 0.000 2.622
Se 5.138 -2.126 0.556
Se 11.185 0.000 3.771
Se 6.769 -2.126 6.018
```